NaNdSbRh after structural relaxation. Source: Alexandria, functional PBE.

Structure (CIF):
```
data_NaNdSbRh
_cell_length_a 6.952
_cell_length_b 6.952
_cell_length_c 6.952
_cell_angle_alpha 90.00
_cell_angle_beta 90.00
_cell_angle_gamma 90.00
_space_group_name_H-M_alt 'F -4 3 m'
_space_group_IT_number 216
_space_group_name_Hall 'F -4 2 3'
loop_
_atom_site_label
_atom_site_fract_x
_atom_site_fract_y
_atom_site_fract_z
Na1 0.000 0.000 0.000
Nd1 0.250 0.250 0.250
Sb1 0.250 0.250 0.750
Rh1 0.000 0.000 0.500
```

## Properties
**Raw formation energy**: -0.589 eV per atom